# CaHfNi2 (PBE, relaxed)
# Magnetic moment = 0.00 μB per formula unit
# Formation energy = 231 meV per atom
data_CaHfNi2
_space_group_name_H-M_alt 'I -4 2 d'
_space_group_IT_number 122
_space_group_name_Hall 'I -4 2bw'
_cell_length_a 7.1050
_cell_length_b 7.1050
_cell_length_c 6.2445
_cell_angle_alpha 90.00
_cell_angle_beta 90.00
_cell_angle_gamma 90.00
loop_
_atom_site_label
_atom_site_fract_x
_atom_site_fract_y
_atom_site_fract_z
Ca1 0.0000 0.0000 0.0000
Hf1 0.0000 0.0000 0.5000
Ni1 0.2156 0.7500 0.6250

# MnReBr3 (PBE, relaxed)
# Magnetic moment = 1.00 μB per formula unit
data_MnReBr3
_space_group_name_H-M_alt 'P m -3 m'
_space_group_IT_number 221
_space_group_name_Hall '-P 4 2 3'
_cell_length_a 5.2851
_cell_length_b 5.2851
_cell_length_c 5.2851
_cell_angle_alpha 90.00
_cell_angle_beta 90.00
_cell_angle_gamma 90.00
loop_
_atom_site_label
_atom_site_fract_x
_atom_site_fract_y
_atom_site_fract_z
Mn1 0.0000 0.0000 0.0000
Re1 0.5000 0.5000 0.5000
Br1 0.0000 0.0000 0.5000

Quick rundown of ΔE to the lowest computed polymorph, same order as above: 52.4 0.0 kJ/mol of atoms